1.
Below is an optimized crystal structure of NdTmCdRh, with properties calculated at the GGA-PBE level.

abc: 5.1094 5.1094 5.1094
angles: 60.00 60.00 60.00
Closest atoms and distances in Å follow each position.
Fractional positions:
Rh 0.2500 0.2500 0.2500  4 Nd 3.13, 4 Tm 3.13
Tm 0.0000 0.0000 0.0000  4 Cd 3.13, 4 Rh 3.13
Nd 0.5000 0.5000 0.5000  4 Rh 3.13, 4 Cd 3.13
Cd 0.7500 0.7500 0.7500  4 Tm 3.13, 4 Nd 3.13

SG: F-43m, No. 216
Crystal system: cubic
DFT formation energy: -482 meV/atom
Final energy: -4.859 eV per atom

2.
Below is an optimized crystal structure of BeAu3, with properties calculated at the GGA-PBE level.

abc: 8.6847 8.6847 8.6847
angles: 153.49 153.49 37.84
Closest atoms and distances in Å follow each position.
Fractional positions:
Be 0.6493 0.6493 0.0000  8 Au 2.59-2.85
Be 0.3507 0.3507 0.0000  8 Au 2.59-2.85
Au 0.0000 0.5000 0.5000  8 Au 2.82-2.83
Au 0.5000 0.0000 0.5000  8 Au 2.82-2.83
Au 0.7500 0.2500 0.5000  4 Be 2.59, 8 Au 2.82-2.90
Au 0.2500 0.7500 0.5000  4 Be 2.59, 8 Au 2.82-2.90
Au 0.8779 0.8779 0.0000  8 Au 2.83-2.90, 4 Be 2.85
Au 0.1221 0.1221 0.0000  8 Au 2.83-2.90, 4 Be 2.85

SG: I4/mmm, No. 139
Crystal system: tetragonal
DFT formation energy: 59 meV/atom
Final energy: -3.330 eV per atom

3.
Below is an optimized crystal structure of Tb15Y2Er2, with properties calculated at the GGA-PBE level.

abc: 8.7221 8.7221 8.7221
angles: 79.32 79.32 79.32
Closest atoms and distances in Å follow each position.
Fractional positions:
Tb 0.0000 0.0000 0.5000  8 Tb 3.34-3.40, 2 Er 3.46
Tb 0.5000 0.0000 0.0000  8 Tb 3.34-3.40, 2 Er 3.46
Tb 0.0000 0.5000 0.0000  8 Tb 3.34-3.40, 2 Er 3.46
Tb 0.2976 0.7024 0.0000  6 Tb 3.28-3.40
Tb 0.0000 0.2976 0.7024  6 Tb 3.28-3.40
Tb 0.7024 0.0000 0.2976  6 Tb 3.28-3.40
Tb 0.0000 0.7024 0.2976  6 Tb 3.28-3.40
Tb 0.2976 0.0000 0.7024  6 Tb 3.28-3.40
Tb 0.7024 0.2976 0.0000  6 Tb 3.28-3.40
Tb 0.6272 0.6272 0.1496  6 Tb 3.27-3.34
Tb 0.1496 0.6272 0.6272  6 Tb 3.27-3.34
Tb 0.6272 0.1496 0.6272  6 Tb 3.27-3.34
Tb 0.3728 0.3728 0.8504  6 Tb 3.27-3.34
Tb 0.8504 0.3728 0.3728  6 Tb 3.27-3.34
Tb 0.3728 0.8504 0.3728  6 Tb 3.27-3.34
Y 0.3210 0.3210 0.3210  15 Tb 3.93-4.22, 1 Er 4.00
Y 0.6790 0.6790 0.6790  15 Tb 3.93-4.22, 1 Er 4.00
Er 0.0948 0.0948 0.0948  1 Er 3.35, 9 Tb 3.46-3.71
Er 0.9052 0.9052 0.9052  1 Er 3.35, 9 Tb 3.46-3.71

SG: R-3m, No. 166
Crystal system: trigonal
DFT formation energy: 275 meV/atom
Final energy: -4.542 eV per atom

4.
Below is an optimized crystal structure of La4CeGe2, with properties calculated at the GGA-PBE level.

abc: 4.7516 6.7344 6.7344
angles: 102.11 90.00 90.00
Closest atoms and distances in Å follow each position.
Fractional positions:
Ge 0.0000 0.7053 0.2947  2 Ce 3.20, 8 La 3.22-3.56
Ge 0.0000 0.2947 0.7053  2 Ce 3.20, 8 La 3.22-3.56
Ce 0.5000 0.5000 0.5000  4 Ge 3.20, 8 La 3.37-3.42
La 0.0000 0.7911 0.7911  4 Ge 3.27-3.56, 2 Ce 3.42, 5 La 3.54-3.55
La 0.0000 0.2089 0.2089  4 Ge 3.27-3.56, 2 Ce 3.42, 5 La 3.54-3.55
La 0.5000 0.0000 0.5000  4 Ge 3.22, 2 Ce 3.37, 4 La 3.55
La 0.5000 0.5000 0.0000  4 Ge 3.22, 2 Ce 3.37, 4 La 3.55

SG: Cmmm, No. 65
Crystal system: orthorhombic
DFT formation energy: -435 meV/atom
Final energy: -5.417 eV per atom

5.
Below is an optimized crystal structure of RbTb2NpO8, with properties calculated at the GGA-PBE level.

abc: 4.3180 5.3640 7.9837
angles: 89.08 86.84 91.84
Closest atoms and distances in Å follow each position.
Fractional positions:
Rb 0.0000 0.0000 0.5000  6 O 2.66-2.96
Tb 0.4382 0.4753 0.7781  7 O 2.27-2.42
Tb 0.5618 0.5247 0.2219  7 O 2.27-2.42
Np 0.0000 0.0000 0.0000  6 O 1.95-2.14
O 0.0725 0.7191 0.1854  1 Np 2.14
O 0.6189 0.7602 0.9822  1 Np 2.07, 1 Tb 2.27
O 0.8505 0.1789 0.1971  1 Np 1.95
O 0.9275 0.2809 0.8146  1 Np 2.14
O 0.3811 0.2398 0.0178  1 Np 2.07, 1 Tb 2.27
O 0.1495 0.8211 0.8029  1 Np 1.95
O 0.5759 0.6289 0.5021  1 O 1.51
O 0.4241 0.3711 0.4979  1 O 1.51

SG: P-1, No. 2
Uncorrected formation energy: -2604 meV per atom
Crystal system: triclinic
Final energy: -7.840 eV per atom

6.
Below is an optimized crystal structure of BePSe, with properties calculated at the GGA-PBE level.

abc: 5.3623 5.5636 5.5636
angles: 151.17 138.81 51.40
Closest atoms and distances in Å follow each position.
Fractional positions:
P 0.4877 0.4682 0.0195  2 Be 2.17
Se 0.4505 0.6963 0.7542  1 Be 2.21
Be 0.0618 0.8356 0.2263  2 P 2.17, 1 Se 2.21

SG: Cm, No. 8
Uncorrected formation energy: 110 meV per atom
Distance to the lowest polymorph of the same formula: 0.0 meV per atom
Crystal system: monoclinic
Final energy: -4.097 eV per atom

7.
Below is an optimized crystal structure of KGeSb, with properties calculated at the GGA-PBE level.

abc: 4.1862 4.1862 19.5885
angles: 90.00 90.00 120.00
Closest atoms and distances in Å follow each position.
Fractional positions:
K 0.0000 0.0000 0.1097  3 Ge 3.45, 3 Sb 3.66
K 0.3333 0.6667 0.7764  3 Ge 3.45, 3 Sb 3.66
K 0.6667 0.3333 0.4430  3 Ge 3.45, 3 Sb 3.66
Ge 0.0000 0.0000 0.9018  3 Sb 2.76
Ge 0.3333 0.6667 0.5684  3 Sb 2.76
Ge 0.6667 0.3333 0.2351  3 Sb 2.76
Sb 0.0000 0.0000 0.6364  3 Ge 2.76
Sb 0.3333 0.6667 0.3030  3 Ge 2.76
Sb 0.6667 0.3333 0.9697  3 Ge 2.76

SG: R3m, No. 160
Uncorrected formation energy: -262 meV per atom
Crystal system: trigonal
Final energy: -3.541 eV per atom

8.
Below is an optimized crystal structure of K4BiO4, with properties calculated at the GGA-PBE level.

abc: 5.2037 6.8868 6.8868
angles: 81.79 67.80 67.80
Closest atoms and distances in Å follow each position.
Fractional positions:
K 0.8141 0.5554 0.8164  4 O 2.65-2.75
K 0.1859 0.4446 0.1836  4 O 2.65-2.75
K 0.6305 0.1836 0.5554  4 O 2.65-2.75
K 0.3695 0.8164 0.4446  4 O 2.65-2.75
Bi 0.0000 0.0000 0.0000  4 O 2.19
O 0.7680 0.3057 0.1583  1 Bi 2.19
O 0.2320 0.6943 0.8417  1 Bi 2.19
O 0.9263 0.8417 0.3057  1 Bi 2.19
O 0.0737 0.1583 0.6943  1 Bi 2.19

SG: I4/m, No. 87
Uncorrected formation energy: -1149 meV per atom
Crystal system: tetragonal
Final energy: -4.272 eV per atom

9.
Below is an optimized crystal structure of LiYV2Ge, with properties calculated at the GGA-PBE level.

abc: 4.8453 5.4432 4.8453
angles: 90.00 90.00 90.00
Closest atoms and distances in Å follow each position.
Fractional positions:
Y 0.0000 0.5000 0.0000  2 Ge 2.72
Ge 0.0000 0.0000 0.0000  4 V 2.42
Li 0.5000 0.5000 0.5000  4 Y 3.43, 8 V 3.64
V 0.0000 0.0000 0.5000  2 Ge 2.42
V 0.5000 0.0000 0.0000  2 Ge 2.42

SG: P4/mmm, No. 123
Crystal system: tetragonal
DFT formation energy: 633 meV/atom
Final energy: -5.614 eV per atom

10.
Below is an optimized crystal structure of BAu3C, with properties calculated at the GGA-PBE level.

abc: 4.3259 4.3259 4.3259
angles: 90.00 90.00 90.00
Closest atoms and distances in Å follow each position.
Fractional positions:
C 0.0000 0.0000 0.0000  6 Au 2.16
B 0.5000 0.5000 0.5000  12 Au 3.06
Au 0.0000 0.5000 0.0000  2 C 2.16
Au 0.0000 0.0000 0.5000  2 C 2.16
Au 0.5000 0.0000 0.0000  2 C 2.16

SG: Pm-3m, No. 221
Distance to the lowest polymorph of the same formula: 0.0 meV per atom
Crystal system: cubic
DFT formation energy: 1446 meV/atom
Final energy: -3.701 eV per atom

11.
Below is an optimized crystal structure of PrAgN, with properties calculated at the GGA-PBE level.

abc: 3.8441 3.8441 6.1304
angles: 71.60 71.60 59.94
Closest atoms and distances in Å follow each position.
Fractional positions:
Ag 0.4584 0.4584 0.7460  1 N 2.19
Pr 0.9603 0.9603 0.2442  3 N 2.32
N 0.5874 0.5874 0.3625  1 Ag 2.19, 3 Pr 2.32

SG: Cm, No. 8
Uncorrected formation energy: -297 meV per atom
Crystal system: monoclinic
Final energy: -5.615 eV per atom

12.
Below is an optimized crystal structure of Mg2MnTl, with properties calculated at the GGA-PBE level.

abc: 3.6060 3.6060 6.3687
angles: 90.00 90.00 90.00
Closest atoms and distances in Å follow each position.
Fractional positions:
Mg 0.0000 0.0000 0.0044  4 Mg 3.06, 4 Tl 3.07, 2 Mn 3.09-3.28
Mg 0.5000 0.5000 0.2697  4 Mn 2.91, 1 Tl 2.97, 4 Mg 3.06
Mn 0.0000 0.0000 0.4894  5 Mg 2.91-3.09, 4 Tl 3.00
Tl 0.5000 0.5000 0.7365  5 Mg 2.97-3.07, 4 Mn 3.00

SG: P4mm, No. 99
Distance to the lowest polymorph of the same formula: 51.4 meV per atom
Crystal system: tetragonal
DFT formation energy: 207 meV/atom
Final energy: -3.474 eV per atom